VASP calculation (PBE) on crystalline SmMg2H6 at its relaxed geometry.

Lattice parameters (Å, degrees): 5.442 5.442 5.442 60.00 60.00 60.00
Fractional positions:
Sm  0.000  0.000  0.000
Mg  0.250  0.250  0.250
Mg  0.750  0.750  0.750
H  0.278  0.278  0.722
H  0.278  0.722  0.278
H  0.278  0.722  0.722
H  0.722  0.278  0.278
H  0.722  0.278  0.722
H  0.722  0.722  0.278

Mass density, g/cm³: 2.99
Electronic total energy, eV per cell: -24.73
Symmetry: Fm-3m (225)